Entry 1:
The following is a DFT calculation (GGA-PBE) of Ho3ErCo2 after structural relaxation.

Calculated values
* relative energy among the computed polymorphs: 0 meV/atom
* formation energy from the elements: -0.17 eV per atom

Cell lengths 16.267, 3.733, 11.433 Å; angles 90.00, 123.74, 90.00 degrees
Space group C2/m (No. 12)
Symmetry-distinct sites (fractional):
Ho  0.084  0.000  0.439
Ho  0.084  0.000  0.941
Ho  0.160  0.500  0.746
Er  0.160  0.500  0.247
Co  0.232  0.500  0.548
Co  0.233  0.500  0.048


Entry 2:
The following is a DFT calculation (GGA-PBE) of DyErTm6 after structural relaxation.

Calculated values
* relative energy among the computed polymorphs: 10 meV/atom
* formation energy from the elements: 0.23 eV per atom

Cell lengths 6.429, 11.602, 6.602 Å; angles 90.00, 90.12, 90.00 degrees
Space group C2/m (No. 12)
Symmetry-distinct sites (fractional):
Dy  0.000  0.000  0.000
Er  0.000  0.000  0.500
Tm  0.004  0.500  0.250
Tm  0.185  0.237  0.250


Entry 3:
The following is a DFT calculation (GGA-PBE) of Li10CaCd3 after structural relaxation.

Calculated values
* formation energy from the elements: -0.02 eV per atom

Cell lengths 13.839, 13.839, 13.839 Å; angles 90.00, 90.00, 90.00 degrees
Space group Fm-3m (No. 225)
Symmetry-distinct sites (fractional):
Li  0.000  0.176  0.176
Li  0.114  0.114  0.386
Ca  0.250  0.250  0.250
Cd  0.000  0.000  0.270


Entry 4:
The following is a DFT calculation (GGA-PBE) of Tb2NdSmEr2 after structural relaxation.

Calculated values
* formation energy from the elements: 0.28 eV per atom

Cell lengths 6.563, 17.878, 3.400 Å; angles 90.00, 90.00, 90.00 degrees
Space group Pnnm (No. 58)
Symmetry-distinct sites (fractional):
Tb  0.225  0.186  0.000
Nd  0.000  0.000  0.000
Sm  0.000  0.500  0.000
Er  0.223  0.351  0.500


Entry 5:
The following is a DFT calculation (GGA-PBE) of SbP3S9 after structural relaxation.

Calculated values
* E_tot: -4.513 eV per atom

Cell lengths 16.998, 8.348, 11.780 Å; angles 90.00, 129.15, 90.00 degrees
Space group Cc (No. 9)
Symmetry-distinct sites (fractional):
Sb  0.000  0.239  0.000
P  0.145  0.428  0.815
P  0.235  0.100  0.708
P  0.355  0.409  0.661
S  0.024  0.435  0.803
S  0.117  0.207  0.703
S  0.155  0.081  0.054
S  0.169  0.381  0.231
S  0.244  0.223  0.553
S  0.289  0.381  0.025
S  0.359  0.050  0.905
S  0.391  0.451  0.855
S  0.489  0.357  0.702


Entry 6:
The following is a DFT calculation (GGA-PBE) of CrBSb3 after structural relaxation.

Calculated values
* relative energy among the computed polymorphs: 38 meV/atom

Cell lengths 4.738, 4.738, 4.738 Å; angles 90.00, 90.00, 90.00 degrees
Space group Pm-3m (No. 221)
Symmetry-distinct sites (fractional):
Cr  0.000  0.000  0.000
B  0.500  0.500  0.500
Sb  0.000  0.500  0.500


Entry 7:
The following is a DFT calculation (GGA-PBE) of MgRu2 after structural relaxation.

Calculated values
* formation energy from the elements: 0.10 eV per atom

Cell lengths 2.850, 3.644, 8.679 Å; angles 90.00, 90.00, 90.00 degrees
Space group Immm (No. 71)
Symmetry-distinct sites (fractional):
Mg  0.000  0.000  0.000
Ru  0.000  0.000  0.320


Entry 8:
The following is a DFT calculation (GGA-PBE) of CeHo6S8 after structural relaxation.

Calculated values
* E_tot: -6.432 eV per atom

Cell lengths 11.001, 11.001, 11.001 Å; angles 90.00, 90.00, 90.00 degrees
Space group Fm-3m (No. 225)
Symmetry-distinct sites (fractional):
Ce  0.000  0.000  0.000
Ho  0.000  0.250  0.250
S  0.000  0.000  0.257
S  0.250  0.250  0.250


Entry 9:
The following is a DFT calculation (GGA-PBE) of SrAl2Cr after structural relaxation.

Calculated values
* relative energy among the computed polymorphs: 186 meV/atom
* formation energy from the elements: 0.19 eV per atom

Cell lengths 3.232, 4.258, 6.671 Å; angles 90.00, 91.13, 90.00 degrees
Space group Pm (No. 6)
Symmetry-distinct sites (fractional):
Sr  0.000  0.000  0.000
Al  0.512  0.500  0.289
Al  0.518  0.000  0.534
Cr  0.025  0.500  0.607


Entry 10:
The following is a DFT calculation (GGA-PBE) of InCo2ReN after structural relaxation.

Calculated values
* E_tot: -7.409 eV per atom

Cell lengths 3.952, 3.952, 4.004 Å; angles 90.00, 90.00, 90.00 degrees
Space group P4/mmm (No. 123)
Symmetry-distinct sites (fractional):
In  0.000  0.000  0.000
Co  0.000  0.500  0.500
Re  0.500  0.500  0.000
N  0.500  0.500  0.500


Entry 11:
The following is a DFT calculation (GGA-PBE) of Sc5CO after structural relaxation.

Calculated values
* E_tot: -7.486 eV per atom

Cell lengths 8.901, 8.301, 8.767 Å; angles 90.00, 119.92, 90.00 degrees
Space group C2/c (No. 15)
Symmetry-distinct sites (fractional):
Sc  0.000  0.069  0.250
Sc  0.036  0.264  0.953
Sc  0.215  0.440  0.353
C  0.000  0.000  0.000
O  0.000  0.414  0.750


Entry 12:
The following is a DFT calculation (GGA-PBE) of LuPaOsPd after structural relaxation.

Calculated values
* formation energy from the elements: -0.47 eV per atom

Cell lengths 6.886, 6.886, 6.886 Å; angles 90.00, 90.00, 90.00 degrees
Space group F-43m (No. 216)
Symmetry-distinct sites (fractional):
Lu  0.000  0.000  0.000
Pa  0.000  0.000  0.500
Os  0.250  0.250  0.750
Pd  0.250  0.250  0.250


Entry 13:
The following is a DFT calculation (GGA-PBE) of Sc8As4Se3 after structural relaxation.

Calculated values
* E_tot: -6.700 eV per atom

Cell lengths 10.874, 10.887, 7.687 Å; angles 90.00, 134.89, 90.00 degrees
Space group C2/m (No. 12)
Symmetry-distinct sites (fractional):
Sc  0.000  0.245  0.000
Sc  0.000  0.253  0.500
Sc  0.248  0.500  0.990
Sc  0.249  0.000  0.495
As  0.000  0.000  0.000
As  0.000  0.500  0.500
As  0.250  0.250  0.500
Se  0.000  0.500  0.000
Se  0.250  0.250  0.000


Entry 14:
The following is a DFT calculation (GGA-PBE) of BaH2Br4 after structural relaxation.

Calculated values
* E_tot: -3.242 eV per atom

Cell lengths 13.934, 16.158, 8.750 Å; angles 90.00, 90.00, 90.00 degrees
Space group Fdd2 (No. 43)
Symmetry-distinct sites (fractional):
Ba  0.000  0.000  0.000
H  0.028  0.233  0.527
Br  0.085  0.185  0.023
Br  0.110  0.171  0.530


Entry 15:
The following is a DFT calculation (GGA-PBE) of ZnCr2Ni after structural relaxation.

Calculated values
* formation energy from the elements: 0.11 eV per atom

Cell lengths 3.409, 3.409, 8.126 Å; angles 90.00, 90.00, 90.00 degrees
Space group I4/mmm (No. 139)
Symmetry-distinct sites (fractional):
Zn  0.000  0.000  0.000
Cr  0.000  0.500  0.250
Ni  0.000  0.000  0.500


Entry 16:
The following is a DFT calculation (GGA-PBE) of Na2TiNiPt after structural relaxation.

Calculated values
* formation energy from the elements: 1.42 eV per atom

Cell lengths 6.223, 6.223, 4.584 Å; angles 90.00, 90.00, 90.00 degrees
Space group P4/mmm (No. 123)
Symmetry-distinct sites (fractional):
Na  0.000  0.500  0.000
Ti  0.000  0.000  0.000
Ni  0.000  0.000  0.500
Pt  0.500  0.500  0.500


Entry 17:
The following is a DFT calculation (GGA-PBE) of LaZnSi3 after structural relaxation.

Calculated values
* E_tot: -4.258 eV per atom

Cell lengths 4.756, 4.756, 4.756 Å; angles 90.00, 90.00, 90.00 degrees
Space group Pm-3m (No. 221)
Symmetry-distinct sites (fractional):
La  0.000  0.000  0.000
Zn  0.500  0.500  0.500
Si  0.000  0.500  0.500


Entry 18:
The following is a DFT calculation (GGA-PBE) of Ce2IN after structural relaxation.

Calculated values
* E_tot: -6.608 eV per atom

Cell lengths 3.7223, 3.7223, 23.2695 Å; angles 90.00, 90.00, 120.00 degrees
Space group R3m (No. 160, hexagonal axes)
Symmetry-distinct sites (fractional):
Ce  0.0000  0.0000  0.0000
Ce  0.0000  0.0000  0.2184
I  0.0000  0.0000  0.4403
N  0.0000  0.0000  0.6073


Entry 19:
The following is a DFT calculation (GGA-PBE) of Sm12Ho5Pu after structural relaxation.

Calculated values
* formation energy from the elements: 0.03 eV per atom

Cell lengths 18.607, 10.765, 6.207 Å; angles 90.00, 109.12, 90.00 degrees
Space group C2/m (No. 12)
Symmetry-distinct sites (fractional):
Sm  0.000  0.164  0.000
Sm  0.000  0.332  0.500
Sm  0.165  0.165  0.500
Sm  0.167  0.334  0.000
Ho  0.000  0.500  0.000
Ho  0.165  0.000  0.996
Ho  0.167  0.500  0.502
Pu  0.000  0.000  0.500


Entry 20:
The following is a DFT calculation (GGA-PBE) of Mg6Cd5Ir after structural relaxation.

Calculated values
* formation energy from the elements: -0.16 eV per atom

Cell lengths 4.694, 7.286, 14.101 Å; angles 90.00, 90.00, 90.00 degrees
Space group Immm (No. 71)
Symmetry-distinct sites (fractional):
Mg  0.000  0.210  0.000
Mg  0.000  0.270  0.345
Cd  0.000  0.000  0.179
Cd  0.000  0.000  0.500
Cd  0.000  0.500  0.161
Ir  0.000  0.500  0.500